Entry 1:
Computed, not measured: a relaxed Pu2BeNi3As4 crystal at the PBE-GGA level of DFT.

a b c (Å): 4.1775 4.1775 9.3462
angles (deg): 90.00 90.00 90.00
With the nearest neighbours (Å) after each atom.
Atoms (fractional coordinates):
Pu 0.0000 0.5000 0.2486  8 As 3.12-3.16, 7 Ni 3.14-3.43, 2 Be 3.14
Pu 0.5000 0.0000 0.7514  8 As 3.12-3.16, 7 Ni 3.14-3.43, 2 Be 3.14
Be 0.0000 0.0000 0.5000  4 As 2.43
Ni 0.0000 0.5000 0.8820  5 As 2.34-2.36
Ni 0.5000 0.0000 0.1180  5 As 2.34-2.36
Ni 0.5000 0.5000 0.5000  4 As 2.43
As 0.0000 0.0000 0.0000  4 Ni 2.36
As 0.0000 0.5000 0.6321  3 Ni 2.34-2.43, 2 Be 2.43
As 0.5000 0.0000 0.3679  3 Ni 2.34-2.43, 2 Be 2.43
As 0.5000 0.5000 0.0000  4 Ni 2.36

Results
Energy of formation from the pure elements ... -0.5685 eV per atom
Mass density ... 9903 kg/m3
Density of states at the Fermi level ... 2.15 states/eV per atom


Entry 2:
Computed, not measured: a relaxed Hg2OsW crystal at the PBE-GGA level of DFT.

a b c (Å): 6.0192 6.0192 6.0192
angles (deg): 101.67 101.67 126.53
With the nearest neighbours (Å) after each atom.
Atoms (fractional coordinates):
Hg 0.1196 0.6250 0.9946  2 Hg 2.71, 2 Os 2.74, 2 W 2.80
Hg 0.3750 0.3696 0.4946  2 Hg 2.71, 2 Os 2.74, 2 W 2.80
Hg 0.6304 0.1250 0.0054  2 Hg 2.71, 2 Os 2.74, 2 W 2.80
Hg 0.8750 0.8804 0.5054  2 Hg 2.71, 2 Os 2.74, 2 W 2.80
Os 0.0000 0.0000 0.0000  2 W 2.71, 4 Hg 2.74
Os 0.7500 0.2500 0.5000  2 W 2.71, 4 Hg 2.74
W 0.2500 0.7500 0.5000  2 Os 2.71, 4 Hg 2.80
W 0.5000 0.5000 0.0000  2 Os 2.71, 4 Hg 2.80

Results
Energy of formation from the pure elements ... 1.5158 eV per atom
Mass density ... 16452 kg/m3
Polymorph energy (0 for the lowest one) ... 1110 meV per atom
Density of states at the Fermi level ... 1.23 states/eV per atom


Entry 3:
Computed, not measured: a relaxed La4SnAu3 crystal at the PBE-GGA level of DFT.

a b c (Å): 4.1979 4.7859 11.6130
angles (deg): 90.00 90.00 90.00
With the nearest neighbours (Å) after each atom.
Atoms (fractional coordinates):
La 0.0000 0.0000 0.0000  6 Au 3.23-3.28, 1 Sn 3.33
La 0.0000 0.5000 0.2661  7 Au 3.18-3.28
La 0.5000 0.0000 0.4873  5 Au 3.14-3.24, 2 Sn 3.36
La 0.5000 0.5000 0.7748  3 Au 3.19-3.44, 4 Sn 3.26
Sn 0.0000 0.0000 0.7133  2 Au 3.13, 7 La 3.26-3.36
Au 0.0000 0.5000 0.5398  2 Sn 3.13, 7 La 3.18-3.44
Au 0.5000 0.0000 0.2167  2 Au 3.08, 7 La 3.14-3.28
Au 0.5000 0.5000 0.0491  2 Au 3.08, 7 La 3.19-3.28

Results
Energy of formation from the pure elements ... -0.7865 eV per atom
Mass density ... 9005 kg/m3
Density of states at the Fermi level ... 1.00 states/eV per atom


Entry 4:
Computed, not measured: a relaxed Tc2IrSe crystal at the PBE-GGA level of DFT.

a b c (Å): 6.7722 6.7722 6.7722
angles (deg): 131.17 131.17 71.54
With the nearest neighbours (Å) after each atom.
Atoms (fractional coordinates):
Tc 0.1197 0.6250 0.9947  2 Ir 2.39, 2 Se 2.43
Tc 0.3750 0.3697 0.4947  2 Ir 2.39, 2 Se 2.43
Tc 0.6303 0.1250 0.0053  2 Ir 2.39, 2 Se 2.43
Tc 0.8750 0.8803 0.5053  2 Ir 2.39, 2 Se 2.43
Ir 0.0000 0.0000 0.0000  4 Tc 2.39
Ir 0.7500 0.2500 0.5000  4 Tc 2.39
Se 0.2500 0.7500 0.5000  4 Tc 2.43
Se 0.5000 0.5000 0.0000  4 Tc 2.43

Results
Mass density ... 9010 kg/m3
ΔE_f (raw) ... 0.6167 eV/atom
Density of states at the Fermi level ... 1.27 states/eV per atom